(1)
# ScCoSb2

ScCoSb2 at its PBEsol-relaxed geometry (SCAN, the Alexandria database).

Calculated volume, Å³ per cell: 77
M_tot, μB/atom: 0.553
Symmetry: I4/mmm, No. 139
Uncorrected energy, eV per atom: -26.5466

a = 4.6396 Å, b = 4.8526 Å, c = 4.6396 Å
α = 61.44°, β = 90.00°, γ = 118.56°
With the nearest neighbours (Å) after each atom.
Fractional coordinates of all 4 atoms:
1 Co 0.0000 0.0000 0.0000  8 Sb 2.93
2 Sb 0.2500 0.5000 0.2500  4 Sc 2.93, 4 Co 2.93
3 Sb 0.7500 0.5000 0.7500  4 Co 2.93, 4 Sc 2.93
4 Sc 0.5000 0.0000 0.5000  8 Sb 2.93



(2)
# CaNiRh

CaNiRh at its PBEsol-relaxed geometry (SCAN, the Alexandria database).

Calculated formation energy, eV/atom: -0.351
Calculated volume, Å³ per cell: 96
M_tot, μB/atom: 0.000
Symmetry: Imma, No. 74
Uncorrected energy, eV per atom: -20.2202

a = 5.0250 Å, b = 5.1263 Å, c = 5.1263 Å
α = 61.83°, β = 60.65°, γ = 60.65°
With the nearest neighbours (Å) after each atom.
Fractional coordinates of all 6 atoms:
1 Ni 0.0000 0.5000 0.0000  2 Ni 2.51, 4 Rh 2.56
2 Ni 0.5000 0.5000 0.0000  2 Ni 2.51, 4 Rh 2.56
3 Ca 0.3757 0.8743 0.3743  6 Rh 2.98-3.01, 6 Ni 2.98-3.06, 4 Ca 3.10-3.19
4 Ca 0.6243 0.1257 0.6257  6 Rh 2.98-3.01, 6 Ni 2.98-3.06, 4 Ca 3.10-3.19
5 Rh 0.0000 0.5000 0.5000  4 Ni 2.56, 2 Rh 2.63
6 Rh 0.0000 0.0000 0.0000  4 Ni 2.56, 2 Rh 2.63